Computed, not measured: a PBEsol-optimized structure of BaFe2P2O8 at the SCAN level of DFT.

Cell: 8.327 8.327 8.327 Å, 33.65 33.65 33.65°
Positions (direct):
1 Ba 0.000 0.000 0.000
2 Fe 0.169 0.169 0.169
3 Fe 0.831 0.831 0.831
4 P 0.425 0.425 0.425
5 P 0.575 0.575 0.575
6 O 0.146 0.757 0.437
7 O 0.243 0.563 0.854
8 O 0.360 0.360 0.360
9 O 0.437 0.146 0.757
10 O 0.563 0.854 0.243
11 O 0.640 0.640 0.640
12 O 0.757 0.437 0.146
13 O 0.854 0.243 0.563

Formation energy (no corrections): -2.4505 eV per atom
Mass density: 4.6 g/cm3
Total magnetization: 8.0 μB per formula unit
DOS(E_F): 0.175 states/eV/atom
Offset from the most stable computed form: 0.13 eV per formula unit

***

Computed, not measured: a PBEsol-optimized structure of Cd2BSb at the SCAN level of DFT.

Cell: 6.852 6.852 6.852 Å, 90.00 90.00 90.00°
Positions (direct):
1 Cd 0.250 0.250 0.250
2 Cd 0.250 0.250 0.750
3 Cd 0.250 0.750 0.250
4 Cd 0.250 0.750 0.750
5 Cd 0.750 0.250 0.250
6 Cd 0.750 0.250 0.750
7 Cd 0.750 0.750 0.250
8 Cd 0.750 0.750 0.750
9 B 0.000 0.000 0.000
10 B 0.000 0.500 0.500
11 B 0.500 0.000 0.500
12 B 0.500 0.500 0.000
13 Sb 0.000 0.000 0.500
14 Sb 0.000 0.500 0.000
15 Sb 0.500 0.000 0.000
16 Sb 0.500 0.500 0.500

Formation energy (no corrections): 1.0160 eV per atom
Mass density: 7.4 g/cm3
Total magnetization: 0.0 μB per formula unit
DOS(E_F): 0.407 states/eV/atom
Offset from the most stable computed form: 1.20 eV per formula unit

***

Computed, not measured: a PBEsol-optimized structure of TmCO4 at the SCAN level of DFT.

Cell: 4.679 7.030 8.707 Å, 90.00 90.00 90.00°
Positions (direct):
1 Tm 0.035 0.144 0.169
2 Tm 0.465 0.856 0.669
3 Tm 0.535 0.356 0.831
4 Tm 0.965 0.644 0.331
5 C 0.017 0.035 0.841
6 C 0.483 0.965 0.341
7 C 0.517 0.465 0.159
8 C 0.983 0.535 0.659
9 O 0.026 0.837 0.143
10 O 0.048 0.424 0.769
11 O 0.165 0.621 0.572
12 O 0.211 0.939 0.370
13 O 0.289 0.061 0.870
14 O 0.335 0.379 0.072
15 O 0.452 0.576 0.269
16 O 0.474 0.163 0.643
17 O 0.526 0.663 0.857
18 O 0.548 0.076 0.231
19 O 0.665 0.879 0.428
20 O 0.711 0.561 0.630
21 O 0.789 0.439 0.130
22 O 0.835 0.121 0.928
23 O 0.952 0.924 0.731
24 O 0.974 0.337 0.357

Formation energy (no corrections): -2.2642 eV per atom
Mass density: 5.7 g/cm3
Total magnetization: 1.0 μB per formula unit
DOS(E_F): 0.000 states/eV/atom
Offset from the most stable computed form: 0.19 eV per formula unit

***

Computed, not measured: a PBEsol-optimized structure of Mg2CrBi at the SCAN level of DFT.

Cell: 8.068 8.068 5.827 Å, 90.00 90.00 90.00°
Positions (direct):
1 Mg 0.237 0.750 0.125
2 Mg 0.250 0.237 0.875
3 Mg 0.250 0.263 0.375
4 Mg 0.263 0.750 0.625
5 Mg 0.737 0.250 0.625
6 Mg 0.750 0.737 0.375
7 Mg 0.750 0.763 0.875
8 Mg 0.763 0.250 0.125
9 Cr 0.000 0.000 0.000
10 Cr 0.000 0.500 0.250
11 Cr 0.500 0.000 0.750
12 Cr 0.500 0.500 0.500
13 Bi 0.000 0.000 0.500
14 Bi 0.000 0.500 0.750
15 Bi 0.500 0.000 0.250
16 Bi 0.500 0.500 0.000

Mass density: 5.4 g/cm3
Total magnetization: 4.3 μB per formula unit
DOS(E_F): 0.537 states/eV/atom
Formation energy from the elements: 0.324 eV/atom

***

Computed, not measured: a PBEsol-optimized structure of Eu2Zn2CuP3 at the SCAN level of DFT.

Cell: 4.011 4.011 21.493 Å, 90.00 90.00 120.00°
Positions (direct):
1 Eu 0.000 0.000 0.157
2 Eu 0.000 0.000 0.343
3 Eu 0.000 0.000 0.657
4 Eu 0.000 0.000 0.843
5 Zn 0.333 0.667 0.042
6 Zn 0.333 0.667 0.458
7 Zn 0.667 0.333 0.542
8 Zn 0.667 0.333 0.958
9 Cu 0.333 0.667 0.750
10 Cu 0.667 0.333 0.250
11 P 0.333 0.667 0.250
12 P 0.333 0.667 0.574
13 P 0.333 0.667 0.926
14 P 0.667 0.333 0.074
15 P 0.667 0.333 0.426
16 P 0.667 0.333 0.750

Mass density: 6.6 g/cm3
Total magnetization: 14.0 μB per formula unit
DOS(E_F): 1.576 states/eV/atom
Formation energy from the elements: -0.881 eV/atom

***

Computed, not measured: a PBEsol-optimized structure of SrTl2Zn2 at the SCAN level of DFT.

Cell: 4.597 4.597 11.440 Å, 90.00 90.00 90.00°
Positions (direct):
1 Sr 0.000 0.000 0.000
2 Sr 0.500 0.500 0.500
3 Tl 0.000 0.500 0.250
4 Tl 0.000 0.500 0.750
5 Tl 0.500 0.000 0.250
6 Tl 0.500 0.000 0.750
7 Zn 0.000 0.000 0.395
8 Zn 0.000 0.000 0.605
9 Zn 0.500 0.500 0.105
10 Zn 0.500 0.500 0.895

Mass density: 8.6 g/cm3
Total magnetization: 0.0 μB per formula unit
DOS(E_F): 0.356 states/eV/atom
Formation energy from the elements: -0.280 eV/atom
Offset from the most stable computed form: 0.00 eV per formula unit

***

Computed, not measured: a PBEsol-optimized structure of LaCoGe2 at the SCAN level of DFT.

Cell: 4.251 16.676 4.204 Å, 90.00 90.00 90.00°
Positions (direct):
1 La 0.000 0.110 0.250
2 La 0.000 0.890 0.750
3 La 0.500 0.390 0.750
4 La 0.500 0.610 0.250
5 Co 0.000 0.318 0.250
6 Co 0.000 0.682 0.750
7 Co 0.500 0.182 0.750
8 Co 0.500 0.818 0.250
9 Ge 0.000 0.250 0.750
10 Ge 0.000 0.455 0.250
11 Ge 0.000 0.545 0.750
12 Ge 0.000 0.750 0.250
13 Ge 0.500 0.045 0.750
14 Ge 0.500 0.250 0.250
15 Ge 0.500 0.750 0.750
16 Ge 0.500 0.955 0.250

Mass density: 7.6 g/cm3
Total magnetization: 0.0 μB per formula unit
DOS(E_F): 0.525 states/eV/atom
Formation energy from the elements: -0.707 eV/atom

***

Computed, not measured: a PBEsol-optimized structure of KMg2Nb at the SCAN level of DFT.

Cell: 8.359 8.359 6.577 Å, 90.00 90.00 90.00°
Positions (direct):
1 K 0.000 0.000 0.000
2 K 0.000 0.500 0.250
3 K 0.500 0.000 0.750
4 K 0.500 0.500 0.500
5 Mg 0.215 0.750 0.625
6 Mg 0.250 0.215 0.375
7 Mg 0.250 0.285 0.875
8 Mg 0.285 0.750 0.125
9 Mg 0.715 0.250 0.125
10 Mg 0.750 0.715 0.875
11 Mg 0.750 0.785 0.375
12 Mg 0.785 0.250 0.625
13 Nb 0.000 0.000 0.500
14 Nb 0.000 0.500 0.750
15 Nb 0.500 0.000 0.250
16 Nb 0.500 0.500 0.000

Mass density: 2.6 g/cm3
Total magnetization: 3.7 μB per formula unit
DOS(E_F): 0.442 states/eV/atom
Formation energy from the elements: 1.000 eV/atom
Offset from the most stable computed form: 0.70 eV per formula unit